The following is a PBE calculation of an optimized crystal structure of TaW3N, from Alexandria.

Calculated values
* total DFT energy (no corrections): -41.54 eV for the cell shown
* ΔE_f (raw): 3.499 eV per atom
* volume: 21.85 A^3/atom
* space group: Pm-3m, No. 221
* relative energy among the computed polymorphs: 17.437 eV per formula unit
* DOS(E_F): 1.27 states/eV per atom

abc: 4.7806 4.7806 4.7806
angles: 90.00 90.00 90.00
Fractional positions:
Ta 0.0000 0.0000 0.0000
W 0.0000 0.0000 0.5000
W 0.0000 0.5000 0.0000
W 0.5000 0.0000 0.0000
N 0.5000 0.5000 0.5000



The following is a PBE calculation of an optimized crystal structure of TaW3N, from Alexandria.

Calculated values
* total DFT energy (no corrections): -58.98 eV for the cell shown
* ΔE_f (raw): 0.011 eV per atom
* volume: 14.58 A^3/atom
* space group: Pm-3m, No. 221
* relative energy among the computed polymorphs: 0.000 eV per formula unit
* DOS(E_F): 1.08 states/eV per atom

abc: 4.1772 4.1772 4.1772
angles: 90.00 90.00 90.00
Fractional positions:
Ta 0.0000 0.0000 0.0000
W 0.0000 0.5000 0.5000
W 0.5000 0.0000 0.5000
W 0.5000 0.5000 0.0000
N 0.5000 0.5000 0.5000



The following is a PBE calculation of an optimized crystal structure of TaWN2, from Alexandria.

Calculated values
* total DFT energy (no corrections): -169.66 eV for the cell shown
* ΔE_f (raw): -0.240 eV per atom
* volume: 13.09 A^3/atom
* space group: I-42d, No. 122
* relative energy among the computed polymorphs: 0.403 eV per formula unit
* DOS(E_F): 0.90 states/eV per atom

abc: 4.5794 4.5794 9.9865
angles: 90.00 90.00 90.00
Fractional positions:
Ta 0.0000 0.0000 0.0000
Ta 0.0000 0.5000 0.2500
Ta 0.5000 0.0000 0.7500
Ta 0.5000 0.5000 0.5000
W 0.0000 0.0000 0.5000
W 0.0000 0.5000 0.7500
W 0.5000 0.0000 0.2500
W 0.5000 0.5000 0.0000
N 0.2426 0.2500 0.6250
N 0.2500 0.7426 0.8750
N 0.2500 0.7574 0.3750
N 0.2574 0.2500 0.1250
N 0.7426 0.7500 0.1250
N 0.7500 0.2426 0.3750
N 0.7500 0.2574 0.8750
N 0.7574 0.7500 0.6250



The following is a PBE calculation of an optimized crystal structure of Y2TaWN, from Alexandria.

Calculated values
* total DFT energy (no corrections): -41.03 eV for the cell shown
* ΔE_f (raw): 1.005 eV per atom
* volume: 24.38 A^3/atom
* space group: P4/mmm, No. 123
* DOS(E_F): 1.27 states/eV per atom

abc: 5.6578 5.6578 3.8089
angles: 90.00 90.00 90.00
Fractional positions:
Y 0.0000 0.5000 0.0000
Y 0.5000 0.0000 0.0000
Ta 0.0000 0.0000 0.5000
W 0.5000 0.5000 0.0000
N 0.5000 0.5000 0.5000



The following is a PBE calculation of an optimized crystal structure of Y3TaN4, from Alexandria.

Calculated values
* total DFT energy (no corrections): -151.61 eV for the cell shown
* ΔE_f (raw): -1.407 eV per atom
* volume: 16.07 A^3/atom
* space group: Pmn2_1, No. 31
* relative energy among the computed polymorphs: 0.903 eV per formula unit
* DOS(E_F): 0.41 states/eV per atom

abc: 7.9104 6.6670 4.8749
angles: 90.00 90.00 90.00
Fractional positions:
Y 0.0000 0.1594 0.0000
Y 0.2476 0.3306 0.4995
Y 0.2524 0.6694 0.9995
Y 0.5000 0.8406 0.5000
Y 0.7476 0.6694 0.9995
Y 0.7524 0.3306 0.4995
Ta 0.0000 0.8205 0.4695
Ta 0.5000 0.1795 0.9695
N 0.0000 0.1227 0.4969
N 0.0000 0.8231 0.0432
N 0.2332 0.6905 0.4946
N 0.2668 0.3095 0.9946
N 0.5000 0.1769 0.5432
N 0.5000 0.8773 0.9969
N 0.7332 0.3095 0.9946
N 0.7668 0.6905 0.4946



The following is a PBE calculation of an optimized crystal structure of YTa2N4, from Alexandria.

Calculated values
* total DFT energy (no corrections): -145.57 eV for the cell shown
* ΔE_f (raw): -1.330 eV per atom
* volume: 11.88 A^3/atom
* space group: Cmcm, No. 63
* DOS(E_F): 0.17 states/eV per atom

abc: 5.3455 5.3455 10.3904
angles: 90.00 90.00 145.92
Fractional positions:
Y 0.1166 0.8834 0.7500
Y 0.8834 0.1166 0.2500
Ta 0.3710 0.6290 0.5680
Ta 0.3710 0.6290 0.9320
Ta 0.6290 0.3710 0.0680
Ta 0.6290 0.3710 0.4320
N 0.0000 0.0000 0.0000
N 0.0000 0.0000 0.5000
N 0.2679 0.7321 0.1124
N 0.2679 0.7321 0.3876
N 0.4432 0.5568 0.7500
N 0.5568 0.4432 0.2500
N 0.7321 0.2679 0.6124
N 0.7321 0.2679 0.8876



The following is a PBE calculation of an optimized crystal structure of Y3TaN4, from Alexandria.

Calculated values
* total DFT energy (no corrections): -153.41 eV for the cell shown
* ΔE_f (raw): -1.520 eV per atom
* volume: 13.45 A^3/atom
* space group: Cmmm, No. 65
* relative energy among the computed polymorphs: 0.000 eV per formula unit
* DOS(E_F): 0.24 states/eV per atom

abc: 6.7626 9.4974 3.3505
angles: 90.00 90.00 90.00
Fractional positions:
Y 0.0000 0.0000 0.0000
Y 0.2500 0.2500 0.5000
Y 0.2500 0.7500 0.5000
Y 0.5000 0.5000 0.0000
Y 0.7500 0.2500 0.5000
Y 0.7500 0.7500 0.5000
Ta 0.0000 0.5000 0.0000
Ta 0.5000 0.0000 0.0000
N 0.0000 0.2663 0.0000
N 0.0000 0.7337 0.0000
N 0.2267 0.5000 0.5000
N 0.2733 0.0000 0.5000
N 0.5000 0.2337 0.0000
N 0.5000 0.7663 0.0000
N 0.7267 0.0000 0.5000
N 0.7733 0.5000 0.5000



The following is a PBE calculation of an optimized crystal structure of YTa4N2, from Alexandria.

Calculated values
* total DFT energy (no corrections): -116.10 eV for the cell shown
* ΔE_f (raw): 1.782 eV per atom
* volume: 18.90 A^3/atom
* space group: I4/mmm, No. 139
* DOS(E_F): 0.98 states/eV per atom

abc: 4.7744 4.7744 11.6106
angles: 90.00 90.00 90.00
Fractional positions:
Y 0.0000 0.0000 0.0000
Y 0.5000 0.5000 0.5000
Ta 0.0000 0.0000 0.2539
Ta 0.0000 0.0000 0.7461
Ta 0.0000 0.5000 0.0000
Ta 0.0000 0.5000 0.5000
Ta 0.5000 0.0000 0.0000
Ta 0.5000 0.0000 0.5000
Ta 0.5000 0.5000 0.2461
Ta 0.5000 0.5000 0.7539
N 0.0000 0.0000 0.4104
N 0.0000 0.0000 0.5896
N 0.5000 0.5000 0.0896
N 0.5000 0.5000 0.9104



The following is a PBE calculation of an optimized crystal structure of YTaN2, from Alexandria.

Calculated values
* total DFT energy (no corrections): -157.94 eV for the cell shown
* ΔE_f (raw): -1.130 eV per atom
* volume: 15.73 A^3/atom
* space group: I-42d, No. 122
* DOS(E_F): 0.43 states/eV per atom

abc: 5.0458 5.0458 9.8864
angles: 90.00 90.00 90.00
Fractional positions:
Y 0.0000 0.0000 0.0000
Y 0.0000 0.5000 0.2500
Y 0.5000 0.0000 0.7500
Y 0.5000 0.5000 0.5000
Ta 0.0000 0.0000 0.5000
Ta 0.0000 0.5000 0.7500
Ta 0.5000 0.0000 0.2500
Ta 0.5000 0.5000 0.0000
N 0.2011 0.2500 0.6250
N 0.2500 0.7011 0.8750
N 0.2500 0.7989 0.3750
N 0.2989 0.2500 0.1250
N 0.7011 0.7500 0.1250
N 0.7500 0.2011 0.3750
N 0.7500 0.2989 0.8750
N 0.7989 0.7500 0.6250



The following is a PBE calculation of an optimized crystal structure of YTaN2, from Alexandria.

Calculated values
* total DFT energy (no corrections): -162.77 eV for the cell shown
* ΔE_f (raw): -1.431 eV per atom
* volume: 12.73 A^3/atom
* space group: Pnma, No. 62
* DOS(E_F): 0.13 states/eV per atom

abc: 5.6822 3.2574 11.0057
angles: 90.00 90.00 90.00
Fractional positions:
Y 0.0894 0.2500 0.1363
Y 0.4106 0.7500 0.6363
Y 0.5894 0.2500 0.3637
Y 0.9106 0.7500 0.8637
Ta 0.0831 0.7500 0.3870
Ta 0.4169 0.2500 0.8870
Ta 0.5831 0.7500 0.1130
Ta 0.9169 0.2500 0.6130
N 0.1602 0.2500 0.7565
N 0.2412 0.2500 0.4949
N 0.2588 0.7500 0.9949
N 0.3398 0.7500 0.2565
N 0.6602 0.2500 0.7435
N 0.7412 0.2500 0.0051
N 0.7588 0.7500 0.5051
N 0.8398 0.7500 0.2435



The following is a PBE calculation of an optimized crystal structure of YTaN3, from Alexandria.

Calculated values
* total DFT energy (no corrections): -96.04 eV for the cell shown
* ΔE_f (raw): -0.946 eV per atom
* volume: 12.92 A^3/atom
* space group: P2_1/m, No. 11
* DOS(E_F): 0.64 states/eV per atom

abc: 6.4120 3.1634 6.4320
angles: 90.00 97.96 90.00
Fractional positions:
Y 0.1547 0.2500 0.2670
Y 0.8453 0.7500 0.7330
Ta 0.3383 0.7500 0.8167
Ta 0.6617 0.2500 0.1833
N 0.1325 0.2500 0.8714
N 0.2009 0.7500 0.5327
N 0.4326 0.7500 0.1784
N 0.5674 0.2500 0.8216
N 0.7991 0.2500 0.4673
N 0.8675 0.7500 0.1286



The following is a PBE calculation of an optimized crystal structure of YTaN3, from Alexandria.

Calculated values
* total DFT energy (no corrections): -47.56 eV for the cell shown
* ΔE_f (raw): -0.853 eV per atom
* volume: 13.15 A^3/atom
* space group: Pm-3m, No. 221
* DOS(E_F): 0.60 states/eV per atom

abc: 4.0360 4.0360 4.0360
angles: 90.00 90.00 90.00
Fractional positions:
Y 0.0000 0.0000 0.0000
Ta 0.5000 0.5000 0.5000
N 0.0000 0.5000 0.5000
N 0.5000 0.0000 0.5000
N 0.5000 0.5000 0.0000